1.
VASP calculation (PBE) on a relaxed structure of LiZnIn2Si.

Structure (POSCAR):
```
LiZnIn2Si
1.0
4.995 0.000 0.000
0.000 4.995 0.000
0.000 0.000 4.550
Li Zn In Si
1 1 2 1
direct
0.000 0.000 0.000 Li
0.500 0.500 0.500 Zn
0.000 0.500 0.000 In
0.500 0.000 0.000 In
0.000 0.000 0.500 Si
```

Formation energy from raw total energies, eV/atom: 0.46
Magnetization, Bohr magnetons per cell: 0.0
Volume, Å³/cell: 113.5

---

2.
VASP calculation (PBE) on a relaxed structure of Li2SmIn9.

Structure (POSCAR):
```
Li2SmIn9
1.0
4.579 0.000 0.000
0.000 4.579 0.000
0.000 0.000 13.960
Li Sm In
2 1 9
direct
0.000 0.000 0.170 Li
0.000 0.000 0.830 Li
0.000 0.000 0.500 Sm
0.000 0.500 0.000 In
0.000 0.500 0.324 In
0.000 0.500 0.676 In
0.500 0.000 0.000 In
0.500 0.000 0.324 In
0.500 0.000 0.676 In
0.500 0.500 0.166 In
0.500 0.500 0.500 In
0.500 0.500 0.834 In
```

Energy of formation from the pure elements, eV per atom: -0.222
Magnetization, Bohr magnetons per cell: 0.0
Volume, Å³/cell: 292.7

---

3.
VASP calculation (PBE) on a relaxed structure of LiSm5In3.

Structure (POSCAR):
```
LiSm5In3
1.0
9.465 0.000 0.000
-4.732 8.197 0.000
0.000 0.000 6.749
Li Sm In
2 10 6
direct
0.000 0.000 0.000 Li
0.000 0.000 0.500 Li
0.000 0.311 0.250 Sm
0.000 0.689 0.750 Sm
0.311 0.000 0.250 Sm
0.311 0.311 0.750 Sm
0.333 0.667 0.000 Sm
0.333 0.667 0.500 Sm
0.667 0.333 0.000 Sm
0.667 0.333 0.500 Sm
0.689 0.000 0.750 Sm
0.689 0.689 0.250 Sm
0.000 0.349 0.750 In
0.000 0.651 0.250 In
0.349 0.000 0.750 In
0.349 0.349 0.250 In
0.651 0.000 0.250 In
0.651 0.651 0.750 In
```

Energy of formation from the pure elements, eV per atom: -0.334
Magnetization, Bohr magnetons per cell: 0.0
Volume, Å³/cell: 523.5

---

4.
VASP calculation (PBE) on a relaxed structure of LiSm2In.

Structure (POSCAR):
```
LiSm2In
1.0
1.707 0.985 11.931
-1.707 0.985 11.931
0.000 -1.971 11.931
Li Sm In
1 2 1
direct
0.000 0.000 0.000 Li
0.409 0.409 0.409 Sm
0.591 0.591 0.591 Sm
0.500 0.500 0.500 In
```

Energy of formation from the pure elements, eV per atom: 0.193
Magnetization, Bohr magnetons per cell: 0.0
Volume, Å³/cell: 120.4

---

5.
VASP calculation (PBE) on a relaxed structure of LiSm4In3.

Structure (POSCAR):
```
LiSm4In3
1.0
-2.659 2.659 7.870
2.659 -2.659 7.870
2.659 2.659 -7.870
Li Sm In
1 4 3
direct
0.000 0.000 0.000 Li
0.125 0.625 0.500 Sm
0.375 0.875 0.500 Sm
0.625 0.125 0.500 Sm
0.875 0.375 0.500 Sm
0.247 0.247 0.000 In
0.500 0.500 0.000 In
0.753 0.753 0.000 In
```

Energy of formation from the pure elements, eV per atom: -0.392
Magnetization, Bohr magnetons per cell: 0.0
Volume, Å³/cell: 222.5

---

6.
VASP calculation (PBE) on a relaxed structure of LiSm12In6.

Structure (POSCAR):
```
LiSm12In6
1.0
5.732 3.309 4.847
-5.732 3.309 4.847
0.000 -6.619 4.847
Li Sm In
1 12 6
direct
0.000 0.000 0.000 Li
0.065 0.126 0.379 Sm
0.126 0.379 0.065 Sm
0.190 0.476 0.565 Sm
0.379 0.065 0.126 Sm
0.435 0.810 0.524 Sm
0.476 0.565 0.190 Sm
0.524 0.435 0.810 Sm
0.565 0.190 0.476 Sm
0.621 0.935 0.874 Sm
0.810 0.524 0.435 Sm
0.874 0.621 0.935 Sm
0.935 0.874 0.621 Sm
0.116 0.748 0.259 In
0.252 0.741 0.884 In
0.259 0.116 0.748 In
0.741 0.884 0.252 In
0.748 0.259 0.116 In
0.884 0.252 0.741 In
```

Energy of formation from the pure elements, eV per atom: -0.225
Magnetization, Bohr magnetons per cell: 0.0
Volume, Å³/cell: 551.7

---

7.
VASP calculation (PBE) on a relaxed structure of LiSmIn5.

Structure (POSCAR):
```
LiSmIn5
1.0
4.750 0.000 0.000
0.000 4.750 0.000
0.000 0.000 7.659
Li Sm In
1 1 5
direct
0.000 0.000 0.000 Li
0.000 0.000 0.500 Sm
0.000 0.500 0.202 In
0.000 0.500 0.798 In
0.500 0.000 0.202 In
0.500 0.000 0.798 In
0.500 0.500 0.500 In
```

Energy of formation from the pure elements, eV per atom: -0.314
Magnetization, Bohr magnetons per cell: 0.0
Volume, Å³/cell: 172.8

---

8.
VASP calculation (PBE) on a relaxed structure of LiSm6In5.

Structure (POSCAR):
```
LiSm6In5
1.0
2.713 -8.155 0.000
2.713 8.155 0.000
0.000 0.000 7.583
Li Sm In
1 6 5
direct
0.000 0.000 0.000 Li
0.168 0.832 0.247 Sm
0.168 0.832 0.753 Sm
0.500 0.500 0.252 Sm
0.500 0.500 0.748 Sm
0.832 0.168 0.247 Sm
0.832 0.168 0.753 Sm
0.000 0.000 0.500 In
0.333 0.667 0.500 In
0.341 0.659 0.000 In
0.659 0.341 0.000 In
0.667 0.333 0.500 In
```

Energy of formation from the pure elements, eV per atom: -0.429
Magnetization, Bohr magnetons per cell: 0.0
Volume, Å³/cell: 335.5

---

9.
VASP calculation (PBE) on a relaxed structure of Li2Sm3In3.

Structure (POSCAR):
```
Li2Sm3In3
1.0
8.820 -2.337 0.000
8.820 2.337 0.000
-1.373 0.000 4.737
Li Sm In
2 3 3
direct
0.242 0.242 0.243 Li
0.758 0.758 0.757 Li
0.000 0.000 0.000 Sm
0.142 0.142 0.642 Sm
0.858 0.858 0.358 Sm
0.351 0.351 0.850 In
0.500 0.500 0.500 In
0.649 0.649 0.150 In
```

Energy of formation from the pure elements, eV per atom: -0.370
Magnetization, Bohr magnetons per cell: 0.0
Volume, Å³/cell: 195.2

---

10.
VASP calculation (PBE) on a relaxed structure of LiSmIn4.

Structure (POSCAR):
```
LiSmIn4
1.0
0.000 4.280 4.280
4.280 0.000 4.280
4.280 4.280 0.000
Li Sm In
1 1 4
direct
0.000 0.000 0.000 Li
0.250 0.250 0.250 Sm
0.125 0.625 0.625 In
0.625 0.125 0.625 In
0.625 0.625 0.125 In
0.625 0.625 0.625 In
```

Energy of formation from the pure elements, eV per atom: -0.188
Magnetization, Bohr magnetons per cell: 0.0
Volume, Å³/cell: 156.8

---

11.
VASP calculation (PBE) on a relaxed structure of LiSm2In4.

Structure (POSCAR):
```
LiSm2In4
1.0
-2.401 2.401 8.049
2.401 -2.401 8.049
2.401 2.401 -8.049
Li Sm In
1 2 4
direct
0.000 0.000 0.000 Li
0.358 0.358 0.000 Sm
0.642 0.642 0.000 Sm
0.000 0.500 0.500 In
0.163 0.163 0.000 In
0.500 0.000 0.500 In
0.837 0.837 0.000 In
```

Energy of formation from the pure elements, eV per atom: -0.194
Magnetization, Bohr magnetons per cell: 0.0
Volume, Å³/cell: 185.7

---

12.
VASP calculation (PBE) on a relaxed structure of LiSm5In6.

Structure (POSCAR):
```
LiSm5In6
1.0
-2.663 3.793 8.023
2.663 -3.793 8.023
2.663 3.793 -8.023
Li Sm In
1 5 6
direct
0.000 0.000 0.000 Li
0.172 0.672 0.500 Sm
0.337 0.337 0.000 Sm
0.500 0.000 0.500 Sm
0.663 0.663 0.000 Sm
0.828 0.328 0.500 Sm
0.077 0.842 0.236 In
0.222 0.500 0.722 In
0.394 0.158 0.236 In
0.606 0.842 0.764 In
0.778 0.500 0.278 In
0.923 0.158 0.764 In
```

Energy of formation from the pure elements, eV per atom: -0.452
Magnetization, Bohr magnetons per cell: 0.0
Volume, Å³/cell: 324.1

---

magnetization of number 4 (LiSm2In)? 0.0 Bohr magnetons per cell

---

Repeat the ninth record exactly.
VASP calculation (PBE) on a relaxed structure of Li2Sm3In3.

Structure (POSCAR):
```
Li2Sm3In3
1.0
8.820 -2.337 0.000
8.820 2.337 0.000
-1.373 0.000 4.737
Li Sm In
2 3 3
direct
0.242 0.242 0.243 Li
0.758 0.758 0.757 Li
0.000 0.000 0.000 Sm
0.142 0.142 0.642 Sm
0.858 0.858 0.358 Sm
0.351 0.351 0.850 In
0.500 0.500 0.500 In
0.649 0.649 0.150 In
```

Energy of formation from the pure elements, eV per atom: -0.370
Magnetization, Bohr magnetons per cell: 0.0
Volume, Å³/cell: 195.2